Record 1
VASP calculation (GGA-PBEsol) on a relaxed structure of YInSi2.

Properties
The calculation puts the density of states at the Fermi level at 2.71 states/eV/f.u. Its energy above the most stable polymorph in this dataset is 0.000 eV per atom.

Cell lengths 3.467, 3.467, 6.584 Å; angles 90.00, 90.00, 90.00 degrees
Sites, in units of the cell vectors:
In  0.500  0.500  0.790
Si  0.000  0.000  0.041
Si  0.500  0.500  0.199
Y  0.000  0.000  0.470



Record 2
VASP calculation (GGA-PBEsol) on a relaxed structure of YInSi2.

Properties
The calculation puts the density of states at the Fermi level at 1.55 states/eV/f.u. Its energy above the most stable polymorph in this dataset is 0.011 eV per atom.

Cell lengths 3.062, 4.741, 5.437 Å; angles 90.00, 90.00, 90.00 degrees
Sites, in units of the cell vectors:
In  0.500  0.500  0.245
Si  0.500  0.000  0.989
Si  0.500  0.500  0.745
Y  0.000  0.000  0.522



Record 3
VASP calculation (GGA-PBEsol) on a relaxed structure of ZnInSi2.

Properties
For the energy, the calculation gives -3.805 eV/atom. The calculation puts the density of states at the Fermi level at 1.68 states/eV/f.u.

Cell lengths 3.658, 3.658, 6.894 Å; angles 90.45, 104.93, 119.97 degrees
Sites, in units of the cell vectors:
In  0.497  0.749  0.246
Si  0.959  0.981  0.940
Si  0.516  0.257  0.773
Zn  0.028  0.513  0.541



Record 4
VASP calculation (GGA-PBEsol) on a relaxed structure of ZnInSi.

Properties
For the energy, the calculation gives -3.149 eV/atom. The calculation puts the density of states at the Fermi level at 1.28 states/eV/f.u.

Cell lengths 3.042, 3.042, 6.287 Å; angles 103.92, 103.92, 90.34 degrees
Sites, in units of the cell vectors:
In  0.999  0.999  0.998
Si  0.685  0.685  0.369
Zn  0.316  0.316  0.633



Record 5
VASP calculation (GGA-PBEsol) on a relaxed structure of Zr3InSi.

Properties
For the energy, the calculation gives -6.072 eV/atom. The calculation puts the density of states at the Fermi level at 5.78 states/eV/f.u.

Cell lengths 5.130, 5.130, 5.130 Å; angles 90.00, 90.00, 90.00 degrees
Sites, in units of the cell vectors:
Si  0.500  0.500  0.500
Zr  0.000  0.500  0.000
Zr  0.000  0.000  0.500
Zr  0.500  0.000  0.000
In  0.000  0.000  0.000



Record 6
VASP calculation (GGA-PBEsol) on a relaxed structure of ZrIn2Si.

Properties
For the energy, the calculation gives -5.127 eV/atom. The calculation puts the density of states at the Fermi level at 2.15 states/eV/f.u.

Cell lengths 3.266, 3.266, 9.321 Å; angles 79.91, 79.91, 60.00 degrees
Sites, in units of the cell vectors:
In  0.244  0.244  0.268
In  0.756  0.756  0.732
Si  0.500  0.500  0.500
Zr  0.000  0.000  0.000